Gd2Si: relaxed, PBE.

E_tot (eV per atom): -4.43
Symmetry: No. 227
Size of the total moment (Bohr magnetons per cell): 0.006

Unit cell a=6.0651 b=6.0651 c=6.0651 alpha=60.00 beta=60.00 gamma=60.00
Last column: nearest neighbours and their distance in Å.
Element x y z (fractional)
Gd: 0.6250 0.6250 0.1250  6 Gd 3.03
Gd: 0.6250 0.1250 0.6250  6 Gd 3.03
Gd: 0.1250 0.6250 0.6250  6 Gd 3.03
Gd: 0.6250 0.6250 0.6250  6 Gd 3.03
Si: 0.0000 0.0000 0.0000  12 Gd 3.56, 4 Si 3.71
Si: 0.2500 0.2500 0.2500  12 Gd 3.56, 4 Si 3.71